DFT (PBE-GGA) results for an optimized crystal structure of SrAgO2.

formation energy (no corrections): -1.464 eV/atom
mass density: 6.08 g cm⁻³
D(E_F): 0.29 states/eV per atom
space-group type: I4/mcm (140)
size of the total moment: 0.00 μB per formula unit
energy: -5.077 eV per atom

Structure (extended XYZ):
```
8
Lattice="5.465 -0.001 0.000 -1.159 5.341 0.000 -2.153 -2.670 4.254" Properties=species:S:1:pos:R:3 pbc="T T T"
O 1.656 -1.335 4.156
O 2.230 2.608 2.127
O 0.497 4.005 0.098
O -0.076 0.062 2.127
Ag 2.153 2.670 0.000
Ag 0.000 0.000 0.000
Sr -0.579 2.670 2.127
Sr 2.732 0.000 2.127
```